! Nd2HoScBi5 (PBE-GGA, optimized geometry); values from VASP
! energy of formation: -0.080 eV/atom
! crystal system: tetragonal
&SYSTEM
  ibrav = 0, nat = 9, ntyp = 4
/
ATOMIC_SPECIES
Nd 144.24 Nd.upf
Ho 164.93 Ho.upf
Sc 44.96 Sc.upf
Bi 208.98 Bi.upf
ATOMIC_POSITIONS crystal
Nd 0.000 0.000 0.220
Nd 0.000 0.000 0.780
Ho 0.500 0.500 0.000
Sc 0.500 0.500 0.500
Bi 0.000 0.000 0.500
Bi 0.000 0.500 0.000
Bi 0.500 0.000 0.000
Bi 0.500 0.500 0.261
Bi 0.500 0.500 0.739
CELL_PARAMETERS angstrom
5.469 0.000 0.000
0.000 5.469 0.000
0.000 0.000 11.566

***

! NdHoSc2Bi4 (PBE-GGA, optimized geometry); values from VASP
! energy of formation: -0.765 eV/atom
! crystal system: monoclinic
&SYSTEM
  ibrav = 0, nat = 8, ntyp = 4
/
ATOMIC_SPECIES
Nd 144.24 Nd.upf
Ho 164.93 Ho.upf
Sc 44.96 Sc.upf
Bi 208.98 Bi.upf
ATOMIC_POSITIONS crystal
Nd 0.000 0.000 0.000
Ho 0.000 0.500 0.500
Sc 0.500 0.000 0.500
Sc 0.500 0.500 0.000
Bi 0.267 0.000 0.751
Bi 0.270 0.500 0.261
Bi 0.730 0.500 0.739
Bi 0.733 0.000 0.249
CELL_PARAMETERS angstrom
7.618 0.000 0.000
0.000 4.409 0.000
-2.552 0.000 7.194